1.
First-principles (PBE-GGA) data for CsKLiF3 after structural relaxation, as listed in Alexandria via LeMat-Bulk.

Output
The uncorrected energy is -102.4 eV per cell.

a = 14.403 Å, b = 4.154 Å, c = 7.978 Å
α = 90.00°, β = 105.81°, γ = 90.00°
Space group C2/m (No. 12)
Inequivalent atoms, fractional coordinates:
Cs 0.147 0.000 0.077 [4 per cell]
K 0.150 0.000 0.571 [4 per cell]
Li 0.001 0.500 0.282 [4 per cell]
F 0.001 0.000 0.280 [4 per cell]
F 0.140 0.500 0.795 [4 per cell]
F 0.144 0.500 0.344 [4 per cell]


2.
First-principles (PBE-GGA) data for Cs2KMg2F7 after structural relaxation, as listed in Alexandria via LeMat-Bulk.

Output
The uncorrected energy is -114.1 eV per cell.

a = 4.159 Å, b = 4.159 Å, c = 23.249 Å
α = 90.00°, β = 90.00°, γ = 90.00°
Space group I4/mmm (No. 139)
Inequivalent atoms, fractional coordinates:
Cs 0.000 0.000 0.183 [4 per cell]
K 0.000 0.000 0.000 [2 per cell]
Mg 0.000 0.000 0.414 [4 per cell]
F 0.000 0.000 0.327 [4 per cell]
F 0.000 0.000 0.500 [2 per cell]
F 0.000 0.500 0.085 [8 per cell]


3.
First-principles (PBE-GGA) data for CsKMgF2 after structural relaxation, as listed in Alexandria via LeMat-Bulk.

Output
The uncorrected energy is -12.9 eV per cell.

a = 4.530 Å, b = 4.530 Å, c = 7.143 Å
α = 90.00°, β = 90.00°, γ = 90.00°
Space group P4/mmm (No. 123)
Inequivalent atoms, fractional coordinates:
Cs 0.000 0.000 0.000 [1 per cell]
K 0.500 0.500 0.000 [1 per cell]
Mg 0.000 0.000 0.500 [1 per cell]
F 0.000 0.500 0.500 [2 per cell]


4.
First-principles (PBE-GGA) data for Cs3KMg2F9 after structural relaxation, as listed in Alexandria via LeMat-Bulk.

Output
The uncorrected energy is -67.0 eV per cell.

a = 6.2585 Å, b = 6.2585 Å, c = 7.9079 Å
α = 90.00°, β = 90.00°, γ = 120.00°
Space group P-3m1 (No. 164)
Inequivalent atoms, fractional coordinates:
Cs 0.0000 0.0000 0.0000 [1 per cell]
Cs 0.3333 0.6667 0.6615 [2 per cell]
K 0.0000 0.0000 0.5000 [1 per cell]
Mg 0.3333 0.6667 0.1392 [2 per cell]
F 0.0000 0.5000 0.0000 [3 per cell]
F 0.1866 0.3732 0.2937 [6 per cell]


5.
First-principles (PBE-GGA) data for CsK2MgF after structural relaxation, as listed in Alexandria via LeMat-Bulk.

Output
The uncorrected energy is -9.8 eV per cell.

a = 8.135 Å, b = 8.135 Å, c = 4.040 Å
α = 90.00°, β = 90.00°, γ = 90.00°
Space group P4/mmm (No. 123)
Inequivalent atoms, fractional coordinates:
Cs 0.000 0.000 0.000 [1 per cell]
K 0.000 0.500 0.500 [2 per cell]
Mg 0.500 0.500 0.500 [1 per cell]
F 0.500 0.500 0.000 [1 per cell]


6.
First-principles (PBE-GGA) data for CsKMgF4 after structural relaxation, as listed in Alexandria via LeMat-Bulk.

Output
The uncorrected energy is -65.4 eV per cell.

a = 4.133 Å, b = 4.133 Å, c = 14.628 Å
α = 90.00°, β = 90.00°, γ = 90.00°
Space group I4mm (No. 107)
Inequivalent atoms, fractional coordinates:
Cs 0.000 0.000 0.000 [2 per cell]
K 0.000 0.000 0.712 [2 per cell]
Mg 0.000 0.000 0.339 [2 per cell]
F 0.000 0.000 0.202 [2 per cell]
F 0.000 0.000 0.477 [2 per cell]
F 0.000 0.500 0.337 [4 per cell]